5
Lattice="4.9458 0.0000 0.0000 0.0000 4.3715 0.0000 0.0000 0.0000 4.9458" Properties=species:S:1:pos:R:3 comment="LiNbV2Bi (PBE-GGA, relaxed)" space_group="P4/mmm, No. 123" energy_ev_per_cell=-26.41 pbc="T T T"
Bi 0.0000 0.0000 0.0000
Nb 2.4729 2.1858 2.4729
V 2.4729 0.0000 0.0000
Li 0.0000 2.1858 0.0000
V 0.0000 0.0000 2.4729